Material: Ho2Co2Ru
Method: DFT, GGA-PBE
State: optimized geometry

a b c (Å): 8.9640 5.3823 7.6560
angles (deg): 90.00 102.81 90.00
Closest atoms and distances in Å follow each position.
Space group C2/c (No. 15)
Inequivalent atoms, fractional coordinates:
Ho (0.1500, 0.1287, 0.1522) (multiplicity 8)  6 Co 2.84-2.99, 2 Ru 3.06-3.16
Co (0.1346, 0.3675, 0.5005) (multiplicity 8)  1 Co 2.43, 2 Ru 2.47-2.48
Ru (0.0000, 0.3678, 0.7500) (multiplicity 4)  4 Co 2.47-2.48

Values from the calculation:
**ΔE_f**: -0.244 eV per atom
**Total DFT energy (no corrections)**: -6.77 eV/atom
**Magnetization**: 9.40 μB/cell